No. 1
## MoIrRuW (PBE-GGA)

Data for a relaxed structure of MoIrRuW.

Computed properties:
Space group = Pmmm
Energy of formation from the pure elements = -0.15 eV/atom

Unit cell a=3.941 b=3.936 c=3.875 alpha=90.00 beta=90.00 gamma=90.00
Atoms (fractional coordinates):
1 Ru 0.000 0.000 0.000
2 Mo 0.000 0.500 0.500
3 Ir 0.500 0.500 0.000
4 W 0.500 0.000 0.500

***

No. 2
## MoIrS3 (PBE-GGA)

Data for a relaxed structure of MoIrS3.

Computed properties:
Space group = Pm-3m
Formation energy (no corrections) = 929 meV per atom
Offset from the most stable computed form = 0 meV per atom

Unit cell a=4.621 b=4.621 c=4.621 alpha=90.00 beta=90.00 gamma=90.00
Atoms (fractional coordinates):
1 Ir 0.000 0.000 0.000
2 Mo 0.500 0.500 0.500
3 S 0.500 0.000 0.000
4 S 0.000 0.500 0.000
5 S 0.000 0.000 0.500

***

No. 3
## MoIrS3 (PBE-GGA)

Data for a relaxed structure of MoIrS3.

Computed properties:
Space group = Pm-3m
Formation energy (no corrections) = 962 meV per atom
Offset from the most stable computed form = 33 meV per atom

Unit cell a=4.617 b=4.617 c=4.617 alpha=90.00 beta=90.00 gamma=90.00
Atoms (fractional coordinates):
1 S 0.000 0.000 0.500
2 S 0.500 0.000 0.000
3 S 0.000 0.500 0.000
4 Ir 0.500 0.500 0.500
5 Mo 0.000 0.000 0.000

***

No. 4
## Mo3IrS (PBE-GGA)

Data for a relaxed structure of Mo3IrS.

Computed properties:
Space group = Pm-3m
Formation energy (no corrections) = 594 meV per atom
Offset from the most stable computed form = 0 meV per atom

Unit cell a=4.364 b=4.364 c=4.364 alpha=90.00 beta=90.00 gamma=90.00
Atoms (fractional coordinates):
1 Mo 0.000 0.500 0.000
2 Mo 0.500 0.000 0.000
3 Mo 0.000 0.000 0.500
4 Ir 0.500 0.500 0.500
5 S 0.000 0.000 0.000

***

No. 5
## MoIr2S (PBE-GGA)

Data for a relaxed structure of MoIr2S.

Computed properties:
Space group = I-42d
Formation energy (no corrections) = 418 meV per atom

Unit cell a=5.551 b=5.551 c=6.543 alpha=64.90 beta=64.90 gamma=90.00
Atoms (fractional coordinates):
1 S 0.500 0.500 0.000
2 S 0.250 0.750 0.500
3 Mo 0.750 0.250 0.500
4 Mo 0.000 0.000 0.000
5 Ir 0.152 0.625 0.250
6 Ir 0.875 0.848 0.750
7 Ir 0.375 0.402 0.750
8 Ir 0.598 0.125 0.250

***

No. 6
## Mo2Ir2S (PBE-GGA)

Data for a relaxed structure of Mo2Ir2S.

Computed properties:
Space group = I4/mmm
Formation energy (no corrections) = 546 meV per atom
Offset from the most stable computed form = 241 meV per atom

Unit cell a=3.603 b=3.603 c=7.027 alpha=75.14 beta=75.14 gamma=90.00
Atoms (fractional coordinates):
1 S 0.000 0.000 0.000
2 Ir 0.399 0.399 0.202
3 Ir 0.601 0.601 0.798
4 Mo 0.750 0.250 0.500
5 Mo 0.250 0.750 0.500

***

No. 7
## Mo2Ir2S (PBE-GGA)

Data for a relaxed structure of Mo2Ir2S.

Computed properties:
Space group = P4/mbm
Formation energy (no corrections) = 305 meV per atom
Offset from the most stable computed form = 0 meV per atom

Unit cell a=7.745 b=7.745 c=2.757 alpha=90.00 beta=90.00 gamma=90.00
Atoms (fractional coordinates):
1 Ir 0.629 0.129 0.000
2 Ir 0.871 0.629 0.000
3 Ir 0.129 0.371 0.000
4 Ir 0.371 0.871 0.000
5 Mo 0.662 0.838 0.500
6 Mo 0.338 0.162 0.500
7 Mo 0.162 0.662 0.500
8 Mo 0.838 0.338 0.500
9 S 0.000 0.000 0.000
10 S 0.500 0.500 0.000

***

No. 8
## Mo3IrS (PBE-GGA)

Data for a relaxed structure of Mo3IrS.

Computed properties:
Space group = Pm-3m
Formation energy (no corrections) = 1784 meV per atom
Offset from the most stable computed form = 1190 meV per atom

Unit cell a=4.766 b=4.766 c=4.766 alpha=90.00 beta=90.00 gamma=90.00
Atoms (fractional coordinates):
1 Mo 0.000 0.500 0.000
2 Mo 0.500 0.000 0.000
3 Mo 0.000 0.000 0.500
4 Ir 0.000 0.000 0.000
5 S 0.500 0.500 0.500

***

No. 9
## SiMoIrS2 (PBE-GGA)

Data for a relaxed structure of SiMoIrS2.

Computed properties:
Space group = P4/mmm
Formation energy (no corrections) = 1012 meV per atom

Unit cell a=4.439 b=4.571 c=4.439 alpha=90.00 beta=90.00 gamma=90.00
Atoms (fractional coordinates):
1 Mo 0.500 0.500 0.500
2 Ir 0.000 0.500 0.000
3 Si 0.000 0.000 0.000
4 S 0.500 0.000 0.000
5 S 0.000 0.000 0.500

***

No. 10
## SrMo2IrS (PBE-GGA)

Data for a relaxed structure of SrMo2IrS.

Computed properties:
Space group = P4/mmm
Formation energy (no corrections) = 934 meV per atom

Unit cell a=4.761 b=6.128 c=4.761 alpha=90.00 beta=90.00 gamma=90.00
Atoms (fractional coordinates):
1 S 0.500 0.500 0.500
2 Ir 0.000 0.000 0.000
3 Mo 0.000 0.000 0.500
4 Mo 0.500 0.000 0.000
5 Sr 0.000 0.500 0.000

***

No. 11
## SrMoIrS2 (PBE-GGA)

Data for a relaxed structure of SrMoIrS2.

Computed properties:
Space group = P4/mmm
Formation energy (no corrections) = -355 meV per atom

Unit cell a=4.740 b=4.872 c=4.740 alpha=90.00 beta=90.00 gamma=90.00
Atoms (fractional coordinates):
1 Ir 0.000 0.500 0.000
2 S 0.500 0.000 0.000
3 S 0.000 0.000 0.500
4 Mo 0.000 0.000 0.000
5 Sr 0.500 0.500 0.500

***

No. 12
## Sb2MoIr (PBE-GGA)

Data for a relaxed structure of Sb2MoIr.

Computed properties:
Space group = P4/mmm
Formation energy (no corrections) = 179 meV per atom
Offset from the most stable computed form = 104 meV per atom

Unit cell a=4.621 b=4.621 c=3.398 alpha=90.00 beta=90.00 gamma=90.00
Atoms (fractional coordinates):
1 Sb 0.000 0.000 0.000
2 Sb 0.500 0.500 0.000
3 Mo 0.000 0.500 0.500
4 Ir 0.500 0.000 0.500